Pr2TiCuS5 | PBE | optimized geometry

abc: 3.8529 8.5338 11.3716
angles: 90.00 90.00 103.05
Element x y z (fractional)
1 Ti 0.8089 0.6178 0.5121
2 Ti 0.1911 0.3822 0.0121
3 S 0.0524 0.1049 0.0526
4 S 0.3042 0.6084 0.3646
5 S 0.4987 0.9974 0.7750
6 S 0.5013 0.0026 0.2750
7 S 0.9476 0.8951 0.5526
8 S 0.6958 0.3916 0.8646
9 S 0.2905 0.5810 0.6607
10 S 0.6521 0.3043 0.5060
11 S 0.3479 0.6957 0.0060
12 S 0.7095 0.4190 0.1607
13 Cu 0.4322 0.8645 0.4472
14 Cu 0.5678 0.1355 0.9472
15 Pr 0.1167 0.2334 0.6952
16 Pr 0.1270 0.2540 0.3105
17 Pr 0.8730 0.7460 0.8105
18 Pr 0.8833 0.7666 0.1952

ρ in g/cm³: 5.047
Space-group type: Cmc2_1


Pr2TmCuS5 | PBE | optimized geometry

abc: 3.9272 8.6631 11.6797
angles: 90.00 90.00 103.10
Element x y z (fractional)
1 S 0.9557 0.9113 0.5582
2 S 0.4989 0.9978 0.7794
3 S 0.2887 0.5773 0.6698
4 S 0.5011 0.0022 0.2794
5 S 0.6880 0.3761 0.8519
6 S 0.0443 0.0887 0.0582
7 S 0.3554 0.7107 0.0020
8 S 0.3120 0.6239 0.3519
9 S 0.7113 0.4227 0.1698
10 S 0.6446 0.2893 0.5020
11 Pr 0.8909 0.7819 0.1869
12 Pr 0.1091 0.2181 0.6869
13 Pr 0.1232 0.2463 0.3106
14 Pr 0.8768 0.7537 0.8106
15 Tm 0.8051 0.6101 0.5105
16 Tm 0.1949 0.3899 0.0105
17 Cu 0.5583 0.1165 0.9545
18 Cu 0.4417 0.8835 0.4545

ρ in g/cm³: 5.789
Space-group type: Cmc2_1


PrU3Cu4S12 | PBE | optimized geometry

abc: 8.3334 8.3334 8.3334
angles: 106.18 106.18 106.18
Element x y z (fractional)
1 Cu 0.9256 0.0744 0.5000
2 Cu 0.5000 0.5000 0.5000
3 Cu 0.0744 0.5000 0.9256
4 Cu 0.5000 0.9256 0.0744
5 S 0.3315 0.9802 0.2288
6 S 0.9031 0.5000 0.0969
7 S 0.7712 0.0198 0.6685
8 S 0.0969 0.9031 0.5000
9 S 0.5000 0.0969 0.9031
10 S 0.6685 0.7712 0.0198
11 S 0.3389 0.6611 0.5000
12 S 0.6611 0.5000 0.3389
13 S 0.0198 0.6685 0.7712
14 S 0.9802 0.2288 0.3315
15 S 0.5000 0.3389 0.6611
16 S 0.2288 0.3315 0.9802
17 Pr 0.0000 0.0000 0.0000
18 U 0.4407 0.0000 0.5593
19 U 0.0000 0.5593 0.4407
20 U 0.5593 0.4407 0.0000

ρ in g/cm³: 5.039
Space-group type: R32


PrYCu2S4 | PBE | optimized geometry

abc: 6.5321 6.0498 6.0498
angles: 67.58 57.33 57.33
Element x y z (fractional)
1 Cu 0.1697 0.3303 0.3303
2 Cu 0.8303 0.6697 0.6697
3 S 0.9473 0.5200 0.0811
4 S 0.0527 0.9189 0.4800
5 S 0.5485 0.4800 0.9189
6 S 0.4515 0.0811 0.5200
7 Y 0.5000 0.5000 0.5000
8 Pr 0.0000 0.0000 0.0000

ρ in g/cm³: 4.795
Space-group type: I222


Pr2ZnCuS5 | PBE | optimized geometry

abc: 3.9711 8.3475 11.9397
angles: 90.00 90.00 103.76
Element x y z (fractional)
1 Pr 0.1388 0.2776 0.3147
2 Pr 0.8612 0.7224 0.8147
3 Pr 0.1081 0.2161 0.6827
4 Pr 0.8919 0.7839 0.1827
5 S 0.3163 0.6327 0.3257
6 S 0.3437 0.6874 0.0013
7 S 0.6837 0.3673 0.8257
8 S 0.2852 0.5705 0.6603
9 S 0.0593 0.1186 0.0493
10 S 0.6563 0.3126 0.5013
11 S 0.9407 0.8814 0.5493
12 S 0.7148 0.4295 0.1603
13 S 0.5118 0.0236 0.2806
14 S 0.4882 0.9764 0.7806
15 Cu 0.7947 0.5894 0.5636
16 Cu 0.2053 0.4106 0.0636
17 Zn 0.4309 0.8619 0.4458
18 Zn 0.5691 0.1381 0.9458

ρ in g/cm³: 4.934
Space-group type: Cmc2_1


Pr2ZrCuS5 | PBE | optimized geometry

abc: 3.8355 8.5155 11.7790
angles: 90.00 90.00 103.01
Element x y z (fractional)
1 Zr 0.1845 0.3689 0.0186
2 Zr 0.8155 0.6311 0.5186
3 S 0.3073 0.6147 0.3626
4 S 0.5042 0.0084 0.2635
5 S 0.9642 0.9284 0.5360
6 S 0.2974 0.5947 0.6729
7 S 0.0358 0.0716 0.0360
8 S 0.3463 0.6926 0.0133
9 S 0.6927 0.3853 0.8626
10 S 0.6537 0.3074 0.5133
11 S 0.4958 0.9916 0.7635
12 S 0.7026 0.4053 0.1729
13 Pr 0.1234 0.2468 0.3288
14 Pr 0.8828 0.7657 0.1944
15 Pr 0.1172 0.2343 0.6944
16 Pr 0.8766 0.7532 0.8288
17 Cu 0.4400 0.8801 0.4338
18 Cu 0.5600 0.1199 0.9338

ρ in g/cm³: 5.289
Space-group type: Cmc2_1


PrCu2Sb2 | PBE | optimized geometry

abc: 7.1847 7.1847 6.6344
angles: 117.86 117.86 97.16
Element x y z (fractional)
1 Cu 0.2224 0.4784 0.4508
2 Cu 0.5216 0.7776 0.0492
3 Cu 0.4784 0.2224 0.9508
4 Cu 0.7776 0.5216 0.5492
5 Pr 0.8733 0.1267 0.7500
6 Pr 0.1267 0.8733 0.2500
7 Sb 0.4237 0.5763 0.2500
8 Sb 0.1686 0.8314 0.7500
9 Sb 0.5763 0.4237 0.7500
10 Sb 0.8314 0.1686 0.2500

ρ in g/cm³: 7.064
Space-group type: C2/c


PrCu2Sb2 | PBE | optimized geometry

abc: 4.3800 4.3668 11.7502
angles: 90.00 100.74 90.00
Element x y z (fractional)
1 Sb 0.0949 0.2500 0.1899
2 Sb 0.2500 0.7500 0.5001
3 Sb 0.9051 0.7500 0.8101
4 Sb 0.7500 0.2500 0.4999
5 Cu 0.5272 0.2500 0.0544
6 Cu 0.4728 0.7500 0.9456
7 Cu 0.0283 0.7500 0.0566
8 Cu 0.9717 0.2500 0.9434
9 Pr 0.3612 0.2500 0.7225
10 Pr 0.6388 0.7500 0.2775

ρ in g/cm³: 7.694
Space-group type: Cmcm


Pr3Cu3Sb4 | PBE | optimized geometry

abc: 8.5111 8.5111 8.5111
angles: 109.47 109.47 109.47
Element x y z (fractional)
1 Sb 0.8400 0.8400 0.8400
2 Sb 0.0000 0.1600 0.5000
3 Sb 0.0000 0.6600 0.5000
4 Sb 0.5000 0.0000 0.6600
5 Sb 0.3400 0.3400 0.3400
6 Sb 0.1600 0.5000 0.0000
7 Sb 0.5000 0.0000 0.1600
8 Sb 0.6600 0.5000 0.0000
9 Cu 0.7500 0.8750 0.1250
10 Cu 0.6250 0.3750 0.2500
11 Cu 0.2500 0.6250 0.3750
12 Cu 0.3750 0.2500 0.6250
13 Cu 0.8750 0.1250 0.7500
14 Cu 0.1250 0.7500 0.8750
15 Pr 0.8750 0.2500 0.1250
16 Pr 0.2500 0.1250 0.8750
17 Pr 0.1250 0.8750 0.2500
18 Pr 0.7500 0.3750 0.6250
19 Pr 0.3750 0.6250 0.7500
20 Pr 0.6250 0.7500 0.3750

ρ in g/cm³: 7.700
Space-group type: I-43d


Pr4Cu3Sb8 | PBE | optimized geometry

abc: 4.4090 4.4090 19.9450
angles: 90.00 90.00 90.00
Element x y z (fractional)
1 Sb 0.0000 0.5000 0.4229
2 Sb 0.0000 0.0000 0.2447
3 Sb 0.0000 0.5000 0.9331
4 Sb 0.5000 0.0000 0.5771
5 Sb 0.5000 0.5000 0.2452
6 Sb 0.5000 0.5000 0.7548
7 Sb 0.5000 0.0000 0.0669
8 Sb 0.0000 0.0000 0.7553
9 Cu 0.0000 0.0000 0.5000
10 Cu 0.0000 0.0000 0.0000
11 Cu 0.5000 0.5000 0.5000
12 Pr 0.0000 0.5000 0.1168
13 Pr 0.5000 0.0000 0.8832
14 Pr 0.0000 0.5000 0.6274
15 Pr 0.5000 0.0000 0.3726

ρ in g/cm³: 7.402
Space-group type: P-4m2


PrCuSb3 | PBE | optimized geometry

abc: 6.3105 6.3052 12.8184
angles: 90.00 90.00 90.00
Element x y z (fractional)
1 Cu 0.5000 0.2500 0.1062
2 Cu 0.0000 0.7500 0.8938
3 Cu 0.5000 0.7500 0.8938
4 Cu 0.0000 0.2500 0.1062
5 Sb 0.2500 0.4940 0.7759
6 Sb 0.7500 0.0060 0.7759
7 Sb 0.7500 0.5060 0.2241
8 Sb 0.2500 0.6394 0.0530
9 Sb 0.0000 0.7500 0.5019
10 Sb 0.7500 0.8606 0.0530
11 Sb 0.7500 0.3606 0.9470
12 Sb 0.5000 0.2500 0.4981
13 Sb 0.5000 0.7500 0.5019
14 Sb 0.0000 0.2500 0.4981
15 Sb 0.2500 0.1394 0.9470
16 Sb 0.2500 0.9940 0.2241
17 Pr 0.7500 0.0009 0.3063
18 Pr 0.7500 0.5009 0.6937
19 Pr 0.2500 0.9991 0.6937
20 Pr 0.2500 0.4991 0.3063

ρ in g/cm³: 7.420
Space-group type: Pbcm


Pr5Cu2Sb | PBE | optimized geometry

abc: 8.2845 8.2846 8.8517
angles: 117.90 117.90 90.00
Element x y z (fractional)
1 Pr 0.5000 0.5000 0.0000
2 Pr 0.2031 0.0118 0.7149
3 Pr 0.9882 0.4882 0.2851
4 Pr 0.4882 0.2969 0.2851
5 Pr 0.0118 0.5118 0.7149
6 Pr 0.2969 0.7969 0.2851
7 Pr 0.5118 0.7031 0.7149
8 Pr 0.7969 0.9882 0.2851
9 Pr 0.0000 0.0000 0.0000
10 Pr 0.7031 0.2031 0.7149
11 Sb 0.2500 0.2500 0.5000
12 Sb 0.7500 0.7500 0.5000
13 Cu 0.6312 0.1312 0.0000
14 Cu 0.1312 0.3688 0.0000
15 Cu 0.8688 0.6312 0.0000
16 Cu 0.3688 0.8688 0.0000

ρ in g/cm³: 6.952
Space-group type: I4/mcm


The records above yield formation energy without anion corrections values of -1.5556 -1.7622 -0.8828 -1.2116 -1.2638 -1.6282 -0.3432 -0.5044 -0.7739 -0.7073 -0.4359 -0.3666 eV/atom, respectively.